<w>
# Cd2GeSb, relaxed, DFT PBE
# total magnetization = 0.0 μB per formula unit
data_Cd2GeSb
_cell_length_a 8.026
_cell_length_b 8.026
_cell_length_c 6.062
_cell_angle_alpha 90.00
_cell_angle_beta 90.00
_cell_angle_gamma 90.00
_space_group_name_H-M_alt 'I -4 2 d'
_space_group_IT_number 122
_space_group_name_Hall 'I -4 2bw'
loop_
_atom_site_label
_atom_site_type_symbol
_atom_site_fract_x
_atom_site_fract_y
_atom_site_fract_z
Cd1 Cd 0.235 0.250 0.125
Ge1 Ge 0.000 0.000 0.000
Sb1 Sb 0.000 0.000 0.500

***

<x>
# Cd2GeSb, relaxed, DFT PBE
# total magnetization = 0.0 μB per formula unit
data_Cd2GeSb
_cell_length_a 7.247
_cell_length_b 7.247
_cell_length_c 7.247
_cell_angle_alpha 90.00
_cell_angle_beta 90.00
_cell_angle_gamma 90.00
_space_group_name_H-M_alt 'F m -3 m'
_space_group_IT_number 225
_space_group_name_Hall '-F 4 2 3'
loop_
_atom_site_label
_atom_site_type_symbol
_atom_site_fract_x
_atom_site_fract_y
_atom_site_fract_z
Cd1 Cd 0.250 0.250 0.250
Ge1 Ge 0.000 0.000 0.000
Sb1 Sb 0.000 0.000 0.500

***

What should be chosen as the least stable of them? Choose <x>.

***

<w>
# Cd2GeSb2, relaxed, DFT PBE
# total magnetization = 0.0 μB per formula unit
data_Cd2GeSb2
_cell_length_a 4.158
_cell_length_b 4.158
_cell_length_c 15.296
_cell_angle_alpha 90.00
_cell_angle_beta 90.00
_cell_angle_gamma 90.00
_space_group_name_H-M_alt 'I 4/m m m'
_space_group_IT_number 139
_space_group_name_Hall '-I 4 2'
loop_
_atom_site_label
_atom_site_type_symbol
_atom_site_fract_x
_atom_site_fract_y
_atom_site_fract_z
Cd1 Cd 0.000 0.500 0.250
Ge1 Ge 0.000 0.000 0.000
Sb1 Sb 0.000 0.000 0.401

***

<x>
# Cd2GeSb2, relaxed, DFT PBE
# total magnetization = 0.0 μB per formula unit
data_Cd2GeSb2
_cell_length_a 8.172
_cell_length_b 8.172
_cell_length_c 3.902
_cell_angle_alpha 90.00
_cell_angle_beta 90.00
_cell_angle_gamma 90.00
_space_group_name_H-M_alt 'P 4/m b m'
_space_group_IT_number 127
_space_group_name_Hall '-P 4 2ab'
loop_
_atom_site_label
_atom_site_type_symbol
_atom_site_fract_x
_atom_site_fract_y
_atom_site_fract_z
Cd1 Cd 0.128 0.372 0.000
Ge1 Ge 0.000 0.000 0.500
Sb1 Sb 0.180 0.680 0.500

***

What should be chosen as the least stable of them? Choose <w>.

***

<w>
# CdGeSb3, relaxed, DFT PBE
# total magnetization = 0.0 μB per formula unit
data_CdGeSb3
_cell_length_a 5.384
_cell_length_b 5.384
_cell_length_c 5.384
_cell_angle_alpha 90.00
_cell_angle_beta 90.00
_cell_angle_gamma 90.00
_space_group_name_H-M_alt 'P m -3 m'
_space_group_IT_number 221
_space_group_name_Hall '-P 4 2 3'
loop_
_atom_site_label
_atom_site_type_symbol
_atom_site_fract_x
_atom_site_fract_y
_atom_site_fract_z
Cd1 Cd 0.000 0.000 0.000
Ge1 Ge 0.500 0.500 0.500
Sb1 Sb 0.000 0.500 0.500

***

<x>
# CdGeSb3, relaxed, DFT PBE
# total magnetization = 0.0 μB per formula unit
data_CdGeSb3
_cell_length_a 5.482
_cell_length_b 5.482
_cell_length_c 5.482
_cell_angle_alpha 90.00
_cell_angle_beta 90.00
_cell_angle_gamma 90.00
_space_group_name_H-M_alt 'P m -3 m'
_space_group_IT_number 221
_space_group_name_Hall '-P 4 2 3'
loop_
_atom_site_label
_atom_site_type_symbol
_atom_site_fract_x
_atom_site_fract_y
_atom_site_fract_z
Cd1 Cd 0.000 0.000 0.000
Ge1 Ge 0.500 0.500 0.500
Sb1 Sb 0.000 0.000 0.500

***

What should be chosen as the least stable of them? Choose <x>.

***

<w>
# CdGeSb2Te, relaxed, DFT PBE
# total magnetization = 0.0 μB per formula unit
data_CdGeSb2Te
_cell_length_a 5.417
_cell_length_b 5.417
_cell_length_c 5.383
_cell_angle_alpha 90.00
_cell_angle_beta 90.00
_cell_angle_gamma 90.00
_space_group_name_H-M_alt 'P 4/m m m'
_space_group_IT_number 123
_space_group_name_Hall '-P 4 2'
loop_
_atom_site_label
_atom_site_type_symbol
_atom_site_fract_x
_atom_site_fract_y
_atom_site_fract_z
Cd1 Cd 0.000 0.000 0.000
Ge1 Ge 0.500 0.500 0.500
Sb1 Sb 0.000 0.500 0.500
Te1 Te 0.500 0.500 0.000

***

<x>
# CdGeSb2Te, relaxed, DFT PBE
# total magnetization = 0.0 μB per formula unit
data_CdGeSb2Te
_cell_length_a 5.432
_cell_length_b 5.432
_cell_length_c 5.663
_cell_angle_alpha 90.00
_cell_angle_beta 90.00
_cell_angle_gamma 90.00
_space_group_name_H-M_alt 'P 4/m m m'
_space_group_IT_number 123
_space_group_name_Hall '-P 4 2'
loop_
_atom_site_label
_atom_site_type_symbol
_atom_site_fract_x
_atom_site_fract_y
_atom_site_fract_z
Cd1 Cd 0.000 0.000 0.000
Ge1 Ge 0.500 0.500 0.500
Sb1 Sb 0.000 0.500 0.000
Te1 Te 0.000 0.000 0.500

***

What should be chosen as the least stable of them? Choose <x>.

***

<w>
# CdGeSbTe2, relaxed, DFT PBE
# total magnetization = 0.0 μB per formula unit
data_CdGeSbTe2
_cell_length_a 5.404
_cell_length_b 5.404
_cell_length_c 5.471
_cell_angle_alpha 90.00
_cell_angle_beta 90.00
_cell_angle_gamma 90.00
_space_group_name_H-M_alt 'P 4/m m m'
_space_group_IT_number 123
_space_group_name_Hall '-P 4 2'
loop_
_atom_site_label
_atom_site_type_symbol
_atom_site_fract_x
_atom_site_fract_y
_atom_site_fract_z
Cd1 Cd 0.000 0.000 0.000
Ge1 Ge 0.500 0.500 0.500
Sb1 Sb 0.500 0.500 0.000
Te1 Te 0.000 0.500 0.500

***

<x>
# CdGeSbTe2, relaxed, DFT PBE
# total magnetization = 0.0 μB per formula unit
data_CdGeSbTe2
_cell_length_a 5.583
_cell_length_b 5.583
_cell_length_c 5.442
_cell_angle_alpha 90.00
_cell_angle_beta 90.00
_cell_angle_gamma 90.00
_space_group_name_H-M_alt 'P 4/m m m'
_space_group_IT_number 123
_space_group_name_Hall '-P 4 2'
loop_
_atom_site_label
_atom_site_type_symbol
_atom_site_fract_x
_atom_site_fract_y
_atom_site_fract_z
Cd1 Cd 0.000 0.000 0.000
Ge1 Ge 0.500 0.500 0.500
Sb1 Sb 0.000 0.000 0.500
Te1 Te 0.000 0.500 0.000

***

What should be chosen as the least stable of them? Choose <x>.

***

<w>
# ScCdGe3, relaxed, DFT PBE
# total magnetization = 0.0 μB per formula unit
data_ScCdGe3
_cell_length_a 5.171
_cell_length_b 5.171
_cell_length_c 5.171
_cell_angle_alpha 90.00
_cell_angle_beta 90.00
_cell_angle_gamma 90.00
_space_group_name_H-M_alt 'P m -3 m'
_space_group_IT_number 221
_space_group_name_Hall '-P 4 2 3'
loop_
_atom_site_label
_atom_site_type_symbol
_atom_site_fract_x
_atom_site_fract_y
_atom_site_fract_z
Sc1 Sc 0.000 0.000 0.000
Cd1 Cd 0.500 0.500 0.500
Ge1 Ge 0.000 0.000 0.500

***

<x>
# ScCdGe3, relaxed, DFT PBE
# total magnetization = 0.0 μB per formula unit
data_ScCdGe3
_cell_length_a 5.085
_cell_length_b 5.085
_cell_length_c 5.085
_cell_angle_alpha 90.00
_cell_angle_beta 90.00
_cell_angle_gamma 90.00
_space_group_name_H-M_alt 'P m -3 m'
_space_group_IT_number 221
_space_group_name_Hall '-P 4 2 3'
loop_
_atom_site_label
_atom_site_type_symbol
_atom_site_fract_x
_atom_site_fract_y
_atom_site_fract_z
Sc1 Sc 0.000 0.000 0.000
Cd1 Cd 0.500 0.500 0.500
Ge1 Ge 0.000 0.500 0.500

***

What should be chosen as the least stable of them? Choose <x>.

***

<w>
# ScCdGeW2, relaxed, DFT PBE
# total magnetization = 3.9 μB per formula unit
data_ScCdGeW2
_cell_length_a 4.985
_cell_length_b 4.985
_cell_length_c 5.003
_cell_angle_alpha 90.00
_cell_angle_beta 90.00
_cell_angle_gamma 90.00
_space_group_name_H-M_alt 'P 4/m m m'
_space_group_IT_number 123
_space_group_name_Hall '-P 4 2'
loop_
_atom_site_label
_atom_site_type_symbol
_atom_site_fract_x
_atom_site_fract_y
_atom_site_fract_z
Sc1 Sc 0.000 0.000 0.000
Cd1 Cd 0.000 0.000 0.500
Ge1 Ge 0.500 0.500 0.000
W1 W 0.000 0.500 0.500

***

<x>
# ScCdGeW2, relaxed, DFT PBE
# total magnetization = 1.4 μB per formula unit
data_ScCdGeW2
_cell_length_a 4.704
_cell_length_b 4.704
_cell_length_c 5.284
_cell_angle_alpha 90.00
_cell_angle_beta 90.00
_cell_angle_gamma 90.00
_space_group_name_H-M_alt 'P 4/m m m'
_space_group_IT_number 123
_space_group_name_Hall '-P 4 2'
loop_
_atom_site_label
_atom_site_type_symbol
_atom_site_fract_x
_atom_site_fract_y
_atom_site_fract_z
Sc1 Sc 0.000 0.000 0.000
Cd1 Cd 0.000 0.000 0.500
Ge1 Ge 0.500 0.500 0.500
W1 W 0.000 0.500 0.000

***

What should be chosen as the least stable of them? Choose <w>.

***

<w>
# CdGe3Se, relaxed, DFT PBE
# total magnetization = 0.0 μB per formula unit
data_CdGe3Se
_cell_length_a 5.178
_cell_length_b 5.178
_cell_length_c 5.178
_cell_angle_alpha 90.00
_cell_angle_beta 90.00
_cell_angle_gamma 90.00
_space_group_name_H-M_alt 'P m -3 m'
_space_group_IT_number 221
_space_group_name_Hall '-P 4 2 3'
loop_
_atom_site_label
_atom_site_type_symbol
_atom_site_fract_x
_atom_site_fract_y
_atom_site_fract_z
Cd1 Cd 0.000 0.000 0.000
Ge1 Ge 0.000 0.500 0.500
Se1 Se 0.500 0.500 0.500

***

<x>
# CdGe3Se, relaxed, DFT PBE
# total magnetization = 0.0 μB per formula unit
data_CdGe3Se
_cell_length_a 5.156
_cell_length_b 5.156
_cell_length_c 5.156
_cell_angle_alpha 90.00
_cell_angle_beta 90.00
_cell_angle_gamma 90.00
_space_group_name_H-M_alt 'P m -3 m'
_space_group_IT_number 221
_space_group_name_Hall '-P 4 2 3'
loop_
_atom_site_label
_atom_site_type_symbol
_atom_site_fract_x
_atom_site_fract_y
_atom_site_fract_z
Cd1 Cd 0.000 0.000 0.000
Ge1 Ge 0.000 0.000 0.500
Se1 Se 0.500 0.500 0.500

***

What should be chosen as the least stable of them? Choose <x>.